Entry from the Alexandria database: an optimized crystal structure of CdRe2Te (PBE).

Summary:
Formation energy from raw total energies: 973 meV per atom
Polymorph energy (0 for the lowest one): 593 meV/atom
Crystal system: cubic
ρ: 14.6 g/cm3

abc: 6.529 6.529 6.529
angles: 90.00 90.00 90.00
Space group Fm-3m (No. 225)
Symmetry-distinct sites (fractional):
Cd1 0.000 0.000 0.000
Re1 0.250 0.250 0.250
Te1 0.000 0.000 0.500